Here is a relaxed BeCr2Sn crystal from Alexandria via LeMat-Bulk. Energies are from PBE-GGA.

Values from the calculation:
Uncorrected energy in eV per atom: -6.36
Magnetic moment in μB per atom: 1.37

Cell lengths 6.1328, 6.1328, 6.1328 Å; angles 90.00, 90.00, 90.00 degrees
Space group Fm-3m (No. 225)
One atom of each set of equivalent atoms:
Be: 0.0000 0.0000 0.0000 [4 per cell]
Cr: 0.2500 0.2500 0.2500 [8 per cell]
Sn: 0.0000 0.0000 0.5000 [4 per cell]